[1]
Below is a geometry-optimized PaHgAs structure, with properties calculated at the PBE level.

Calculated values
- DFT total energy (eV/f.u.) = -13.625
- SG = F-43m (216)

a b c (Å): 4.8477 4.8477 4.8477
angles (deg): 60.00 60.00 60.00
Sites, in units of the cell vectors:
1 As 0.2500 0.2500 0.2500
2 Pa 0.7500 0.7500 0.7500
3 Hg 0.0000 0.0000 0.0000

***

[2]
Below is a geometry-optimized Hg2AsPb structure, with properties calculated at the PBE level.

Calculated values
- DFT total energy (eV/f.u.) = -8.435
- SG = F-43m (216)

a b c (Å): 5.2358 5.2358 5.2358
angles (deg): 60.00 60.00 60.00
Sites, in units of the cell vectors:
1 Pb 0.2500 0.2500 0.2500
2 As 0.5000 0.5000 0.5000
3 Hg 0.0000 0.0000 0.0000
4 Hg 0.7500 0.7500 0.7500

***

[3]
Below is a geometry-optimized HgAsPd5 structure, with properties calculated at the PBE level.

Calculated values
- DFT total energy (eV/f.u.) = -32.961
- SG = P4/mmm (123)

a b c (Å): 4.0403 4.0403 7.0621
angles (deg): 90.00 90.00 90.00
Sites, in units of the cell vectors:
1 Pd 0.0000 0.5000 0.7080
2 Pd 0.0000 0.0000 0.0000
3 Pd 0.5000 0.0000 0.2920
4 Pd 0.5000 0.0000 0.7080
5 Pd 0.0000 0.5000 0.2920
6 Hg 0.5000 0.5000 0.0000
7 As 0.0000 0.0000 0.5000

***

[4]
Below is a geometry-optimized PrHgAs structure, with properties calculated at the PBE level.

Calculated values
- DFT total energy (eV/f.u.) = -11.241
- SG = F-43m (216)

a b c (Å): 4.9507 4.9507 4.9507
angles (deg): 60.00 60.00 60.00
Sites, in units of the cell vectors:
1 As 0.0000 0.0000 0.0000
2 Pr 0.7500 0.7500 0.7500
3 Hg 0.2500 0.2500 0.2500

***

[5]
Below is a geometry-optimized HgAsPt2 structure, with properties calculated at the PBE level.

Calculated values
- DFT total energy (eV/f.u.) = -16.204
- SG = F-43m (216)

a b c (Å): 4.6438 4.6438 4.6438
angles (deg): 60.00 60.00 60.00
Sites, in units of the cell vectors:
1 As 0.5000 0.5000 0.5000
2 Pt 0.7500 0.7500 0.7500
3 Pt 0.0000 0.0000 0.0000
4 Hg 0.2500 0.2500 0.2500

***

[6]
Below is a geometry-optimized Rb2ZnHgAs2 structure, with properties calculated at the PBE level.

Calculated values
- DFT total energy (eV/f.u.) = -15.035
- SG = P-6m2 (187)

a b c (Å): 4.4935 4.4935 10.9308
angles (deg): 90.00 90.00 120.00
Sites, in units of the cell vectors:
1 Rb 0.6667 0.3333 0.2511
2 Rb 0.6667 0.3333 0.7489
3 Hg 0.0000 0.0000 0.0000
4 Zn 0.3333 0.6667 0.5000
5 As 0.3333 0.6667 0.0000
6 As 0.0000 0.0000 0.5000

***

[7]
Below is a geometry-optimized Hg5As2S structure, with properties calculated at the PBE level.

Calculated values
- DFT total energy (eV/f.u.) = -11.033
- SG = P4/mmm (123)

a b c (Å): 6.5633 6.5633 4.9532
angles (deg): 90.00 90.00 90.00
Sites, in units of the cell vectors:
1 Hg 0.7133 0.7133 0.0000
2 Hg 0.0000 0.0000 0.5000
3 Hg 0.2867 0.2867 0.0000
4 Hg 0.7133 0.2867 0.0000
5 Hg 0.2867 0.7133 0.0000
6 As 0.5000 0.0000 0.5000
7 As 0.0000 0.5000 0.5000
8 S 0.0000 0.0000 0.0000

***

[8]
Below is a geometry-optimized HgAsSe2S structure, with properties calculated at the PBE level.

Calculated values
- DFT total energy (eV/f.u.) = -16.243
- SG = P-1 (2)

a b c (Å): 6.5866 6.6603 8.0424
angles (deg): 95.22 107.13 117.73
Sites, in units of the cell vectors:
1 Hg 0.1373 0.7528 0.3580
2 Hg 0.8627 0.2472 0.6420
3 As 0.5498 0.5633 0.6705
4 As 0.4502 0.4367 0.3295
5 Se 0.2770 0.2387 0.7475
6 Se 0.7230 0.7613 0.2525
7 Se 0.5193 0.1177 0.2877
8 Se 0.4807 0.8823 0.7123
9 S 0.9272 0.6479 0.8027
10 S 0.0728 0.3521 0.1973